Record 1
A plane-wave DFT calculation with GGA-PBE was carried out for LaEr2Mg3 after structural relaxation.

Summary:
Crystal system   tetragonal
DFT formation energy   -0.077 eV/atom

Unit cell a=3.8174 b=3.8174 c=11.5572 alpha=90.00 beta=90.00 gamma=90.00
Fractional coordinates of all 6 atoms:
La (0.5000, 0.5000, 0.5000)
Er (0.5000, 0.5000, 0.1590)
Er (0.5000, 0.5000, 0.8410)
Mg (0.0000, 0.0000, 0.6830)
Mg (0.0000, 0.0000, 0.0000)
Mg (0.0000, 0.0000, 0.3170)

Record 2
A plane-wave DFT calculation with GGA-PBE was carried out for B5C7 after structural relaxation.

Summary:
Crystal system   trigonal
DFT formation energy   0.386 eV/atom

Unit cell a=2.6671 b=2.6671 c=17.0703 alpha=90.00 beta=90.00 gamma=120.00
Fractional coordinates of all 12 atoms:
C (0.6667, 0.3333, 0.7679)
C (0.3333, 0.6667, 0.1178)
C (0.0000, 0.0000, 0.3293)
C (0.0000, 0.0000, 0.9039)
C (0.3333, 0.6667, 0.5159)
C (0.3333, 0.6667, 0.0234)
C (0.0000, 0.0000, 0.9915)
B (0.6667, 0.3333, 0.3294)
B (0.6667, 0.3333, 0.8660)
B (0.6667, 0.3333, 0.1309)
B (0.3333, 0.6667, 0.7583)
B (0.0000, 0.0000, 0.5155)

Record 3
A plane-wave DFT calculation with GGA-PBE was carried out for NpBi4S8 after structural relaxation.

Summary:
Crystal system   trigonal

Unit cell a=8.0125 b=8.0125 c=8.0125 alpha=59.78 beta=59.78 gamma=59.78
Last column: magnetic moment on the atom in μB.
Fractional coordinates of all 13 atoms:
Bi (0.0000, 0.0000, 0.0000)  0.05
Bi (0.5000, 0.0000, 0.5000)  0.00
Bi (0.5000, 0.5000, 0.0000)  0.00
Bi (0.0000, 0.5000, 0.5000)  0.00
S (0.7418, 0.7418, 0.2571)  -0.06
S (0.2582, 0.7429, 0.2582)  -0.06
S (0.2582, 0.2582, 0.7429)  -0.06
S (0.7418, 0.2571, 0.7418)  -0.06
S (0.2571, 0.7418, 0.7418)  -0.06
S (0.2536, 0.2536, 0.2536)  -0.04
S (0.7429, 0.2582, 0.2582)  -0.06
S (0.7464, 0.7464, 0.7464)  -0.04
Np (0.5000, 0.5000, 0.5000)  3.42

Record 4
A plane-wave DFT calculation with GGA-PBE was carried out for Ac3LaTl4 after structural relaxation.

Summary:
Crystal system   orthorhombic
DFT formation energy   -0.247 eV/atom

Unit cell a=3.9964 b=7.6280 c=10.7065 alpha=110.87 beta=100.76 gamma=90.00
Fractional coordinates of all 8 atoms:
Ac (0.0000, 0.5000, 0.0000)
Ac (0.7861, 0.7861, 0.5722)
Ac (0.2139, 0.2139, 0.4278)
Tl (0.3744, 0.1656, 0.7487)
Tl (0.6256, 0.8344, 0.2513)
Tl (0.6256, 0.4170, 0.2513)
Tl (0.3744, 0.5830, 0.7487)
La (0.5000, 0.0000, 0.0000)

| no. | energy (eV per atom) |
| --- | --- |
| 1 | -3.217 |
| 2 | -7.777 |
| 3 | -5.171 |
| 4 | -3.587 |